A:
An optimized crystal structure of Np2GeSe5. Source: Alexandria via LeMat-Bulk, functional PBE. Values from VASP.

Computed properties:
Fermi-level density of states = 35.11 states/eV per cell

Geometry as Quantum ESPRESSO input:
```
&SYSTEM
  ibrav = 0, nat = 16, ntyp = 3
/
ATOMIC_SPECIES
Np 237.00 Np.upf
Ge 72.64 Ge.upf
Se 78.96 Se.upf
CELL_PARAMETERS angstrom
7.857 0.000 0.000
0.000 11.788 0.000
0.000 0.000 4.002
ATOMIC_POSITIONS crystal
Np 0.034 0.176 0.000
Np 0.466 0.676 0.000
Np 0.534 0.324 0.000
Np 0.966 0.824 0.000
Ge 0.000 0.500 0.500
Ge 0.500 0.000 0.500
Se 0.000 0.000 0.500
Se 0.173 0.406 0.000
Se 0.174 0.696 0.500
Se 0.326 0.196 0.500
Se 0.327 0.906 0.000
Se 0.500 0.500 0.500
Se 0.673 0.094 0.000
Se 0.674 0.804 0.500
Se 0.826 0.304 0.500
Se 0.827 0.594 0.000
```

=====

B:
An optimized crystal structure of Np2GeSe5. Source: Alexandria via LeMat-Bulk, functional PBE. Values from VASP.

Computed properties:
Fermi-level density of states = 35.40 states/eV per cell

Geometry as Quantum ESPRESSO input:
```
&SYSTEM
  ibrav = 0, nat = 16, ntyp = 3
/
ATOMIC_SPECIES
Np 237.00 Np.upf
Ge 72.64 Ge.upf
Se 78.96 Se.upf
CELL_PARAMETERS angstrom
2.795 -6.605 0.000
2.795 6.605 0.000
0.000 0.000 13.577
ATOMIC_POSITIONS crystal
Np 0.148 0.852 0.562
Np 0.148 0.852 0.938
Np 0.852 0.148 0.062
Np 0.852 0.148 0.438
Ge 0.201 0.799 0.250
Ge 0.799 0.201 0.750
Se 0.052 0.948 0.119
Se 0.052 0.948 0.381
Se 0.248 0.752 0.750
Se 0.325 0.675 0.060
Se 0.325 0.675 0.440
Se 0.675 0.325 0.560
Se 0.675 0.325 0.940
Se 0.752 0.248 0.250
Se 0.948 0.052 0.619
Se 0.948 0.052 0.881
```

=====

Stability summary: most stable A, least stable B.

=====

A:
An optimized crystal structure of NpSi2Ge. Source: Alexandria via LeMat-Bulk, functional PBE. Values from VASP.

Computed properties:
Fermi-level density of states = 21.07 states/eV per cell

Geometry as Quantum ESPRESSO input:
```
&SYSTEM
  ibrav = 0, nat = 12, ntyp = 3
/
ATOMIC_SPECIES
Np 237.00 Np.upf
Si 28.09 Si.upf
Ge 72.64 Ge.upf
CELL_PARAMETERS angstrom
4.835 0.000 0.000
-2.418 4.187 0.000
0.000 0.000 10.966
ATOMIC_POSITIONS crystal
Np 0.000 0.000 0.000
Np 0.333 0.667 0.667
Np 0.667 0.333 0.333
Si 0.000 0.000 0.260
Si 0.000 0.000 0.740
Si 0.333 0.667 0.407
Si 0.333 0.667 0.926
Si 0.667 0.333 0.074
Si 0.667 0.333 0.593
Ge 0.000 0.000 0.500
Ge 0.333 0.667 0.167
Ge 0.667 0.333 0.833
```

=====

B:
An optimized crystal structure of NpSi2Ge. Source: Alexandria via LeMat-Bulk, functional PBE. Values from VASP.

Computed properties:
Fermi-level density of states = 7.91 states/eV per cell

Geometry as Quantum ESPRESSO input:
```
&SYSTEM
  ibrav = 0, nat = 4, ntyp = 3
/
ATOMIC_SPECIES
Np 237.00 Np.upf
Si 28.09 Si.upf
Ge 72.64 Ge.upf
CELL_PARAMETERS angstrom
4.104 0.000 0.000
0.000 4.104 0.000
0.000 0.000 4.055
ATOMIC_POSITIONS crystal
Np 0.000 0.000 0.000
Si 0.000 0.500 0.500
Si 0.500 0.000 0.500
Ge 0.500 0.500 0.000
```

=====

C:
An optimized crystal structure of NpSi2Ge. Source: Alexandria via LeMat-Bulk, functional PBE. Values from VASP.

Computed properties:
Fermi-level density of states = 23.76 states/eV per cell

Geometry as Quantum ESPRESSO input:
```
&SYSTEM
  ibrav = 0, nat = 16, ntyp = 3
/
ATOMIC_SPECIES
Np 237.00 Np.upf
Si 28.09 Si.upf
Ge 72.64 Ge.upf
CELL_PARAMETERS angstrom
5.786 0.000 0.000
0.000 6.374 0.000
0.000 0.000 7.678
ATOMIC_POSITIONS crystal
Np 0.000 0.250 0.048
Np 0.000 0.750 0.952
Np 0.500 0.250 0.452
Np 0.500 0.750 0.548
Si 0.250 0.060 0.750
Si 0.250 0.440 0.750
Si 0.250 0.560 0.250
Si 0.250 0.940 0.250
Si 0.750 0.060 0.750
Si 0.750 0.440 0.750
Si 0.750 0.560 0.250
Si 0.750 0.940 0.250
Ge 0.000 0.250 0.444
Ge 0.000 0.750 0.556
Ge 0.500 0.250 0.056
Ge 0.500 0.750 0.944
```

=====

Stability summary: most stable B, least stable A.

=====

A:
An optimized crystal structure of NpSiGe. Source: Alexandria via LeMat-Bulk, functional PBE. Values from VASP.

Computed properties:
Fermi-level density of states = 21.39 states/eV per cell

Geometry as Quantum ESPRESSO input:
```
&SYSTEM
  ibrav = 0, nat = 12, ntyp = 3
/
ATOMIC_SPECIES
Np 237.00 Np.upf
Si 28.09 Si.upf
Ge 72.64 Ge.upf
CELL_PARAMETERS angstrom
4.141 0.000 0.000
0.000 7.469 0.000
0.000 0.000 7.512
ATOMIC_POSITIONS crystal
Np 0.000 0.248 0.000
Np 0.000 0.752 0.000
Np 0.500 0.252 0.500
Np 0.500 0.748 0.500
Si 0.000 0.000 0.344
Si 0.000 0.000 0.656
Si 0.500 0.500 0.156
Si 0.500 0.500 0.844
Ge 0.000 0.500 0.326
Ge 0.000 0.500 0.674
Ge 0.500 0.000 0.174
Ge 0.500 0.000 0.826
```

=====

B:
An optimized crystal structure of NpSiGe. Source: Alexandria via LeMat-Bulk, functional PBE. Values from VASP.

Computed properties:
Fermi-level density of states = 3.12 states/eV per cell

Geometry as Quantum ESPRESSO input:
```
&SYSTEM
  ibrav = 0, nat = 3, ntyp = 3
/
ATOMIC_SPECIES
Np 237.00 Np.upf
Si 28.09 Si.upf
Ge 72.64 Ge.upf
CELL_PARAMETERS angstrom
4.773 0.000 0.000
-2.387 4.134 0.000
0.000 0.000 2.517
ATOMIC_POSITIONS crystal
Np 0.000 0.000 0.000
Si 0.333 0.667 0.500
Ge 0.667 0.333 0.500
```

=====

Stability summary: most stable A, least stable B.

=====

A:
An optimized crystal structure of SmNpGe2. Source: Alexandria via LeMat-Bulk, functional PBE. Values from VASP.

Computed properties:
Fermi-level density of states = 27.87 states/eV per cell

Geometry as Quantum ESPRESSO input:
```
&SYSTEM
  ibrav = 0, nat = 12, ntyp = 3
/
ATOMIC_SPECIES
Sm 150.36 Sm.upf
Np 237.00 Np.upf
Ge 72.64 Ge.upf
CELL_PARAMETERS angstrom
4.773 0.000 0.000
-2.386 4.133 0.000
0.000 0.000 14.582
ATOMIC_POSITIONS crystal
Sm 0.000 0.000 0.000
Sm 0.333 0.667 0.667
Sm 0.667 0.333 0.333
Np 0.000 0.000 0.500
Np 0.333 0.667 0.167
Np 0.667 0.333 0.833
Ge 0.000 0.000 0.244
Ge 0.000 0.000 0.756
Ge 0.333 0.667 0.423
Ge 0.333 0.667 0.911
Ge 0.667 0.333 0.089
Ge 0.667 0.333 0.577
```

=====

B:
An optimized crystal structure of SmNpGe2. Source: Alexandria via LeMat-Bulk, functional PBE. Values from VASP.

Computed properties:
Fermi-level density of states = 6.73 states/eV per cell

Geometry as Quantum ESPRESSO input:
```
&SYSTEM
  ibrav = 0, nat = 4, ntyp = 3
/
ATOMIC_SPECIES
Sm 150.36 Sm.upf
Np 237.00 Np.upf
Ge 72.64 Ge.upf
CELL_PARAMETERS angstrom
3.313 0.000 0.000
0.000 3.313 0.000
0.000 0.000 8.206
ATOMIC_POSITIONS crystal
Sm 0.000 0.000 0.000
Np 0.000 0.000 0.500
Ge 0.500 0.500 0.256
Ge 0.500 0.500 0.744
```

=====

Stability summary: most stable B, least stable A.

=====

A:
An optimized crystal structure of NpSnGe2. Source: Alexandria via LeMat-Bulk, functional PBE. Values from VASP.

Computed properties:
Fermi-level density of states = 31.96 states/eV per cell

Geometry as Quantum ESPRESSO input:
```
&SYSTEM
  ibrav = 0, nat = 12, ntyp = 3
/
ATOMIC_SPECIES
Np 237.00 Np.upf
Sn 118.71 Sn.upf
Ge 72.64 Ge.upf
CELL_PARAMETERS angstrom
4.683 0.000 0.000
-2.342 4.056 0.000
0.000 0.000 21.504
ATOMIC_POSITIONS crystal
Np 0.000 0.000 0.000
Np 0.333 0.667 0.667
Np 0.667 0.333 0.333
Sn 0.000 0.000 0.500
Sn 0.333 0.667 0.167
Sn 0.667 0.333 0.833
Ge 0.000 0.000 0.380
Ge 0.000 0.000 0.620
Ge 0.333 0.667 0.047
Ge 0.333 0.667 0.287
Ge 0.667 0.333 0.713
Ge 0.667 0.333 0.953
```

=====

B:
An optimized crystal structure of NpSnGe2. Source: Alexandria via LeMat-Bulk, functional PBE. Values from VASP.

Computed properties:
Fermi-level density of states = 9.11 states/eV per cell

Geometry as Quantum ESPRESSO input:
```
&SYSTEM
  ibrav = 0, nat = 4, ntyp = 3
/
ATOMIC_SPECIES
Np 237.00 Np.upf
Sn 118.71 Sn.upf
Ge 72.64 Ge.upf
CELL_PARAMETERS angstrom
4.508 0.000 0.000
0.000 4.508 0.000
0.000 0.000 4.129
ATOMIC_POSITIONS crystal
Np 0.000 0.000 0.000
Sn 0.500 0.500 0.000
Ge 0.000 0.500 0.500
Ge 0.500 0.000 0.500
```

=====

Stability summary: most stable B, least stable A.

=====

A:
An optimized crystal structure of TbNpGe2. Source: Alexandria via LeMat-Bulk, functional PBE. Values from VASP.

Computed properties:
Fermi-level density of states = 25.43 states/eV per cell

Geometry as Quantum ESPRESSO input:
```
&SYSTEM
  ibrav = 0, nat = 12, ntyp = 3
/
ATOMIC_SPECIES
Tb 158.93 Tb.upf
Np 237.00 Np.upf
Ge 72.64 Ge.upf
CELL_PARAMETERS angstrom
4.772 0.000 0.000
-2.386 4.132 0.000
0.000 0.000 14.063
ATOMIC_POSITIONS crystal
Tb 0.000 0.000 0.000
Tb 0.333 0.667 0.667
Tb 0.667 0.333 0.333
Np 0.000 0.000 0.500
Np 0.333 0.667 0.167
Np 0.667 0.333 0.833
Ge 0.000 0.000 0.247
Ge 0.000 0.000 0.753
Ge 0.333 0.667 0.420
Ge 0.333 0.667 0.914
Ge 0.667 0.333 0.086
Ge 0.667 0.333 0.580
```

=====

B:
An optimized crystal structure of TbNpGe2. Source: Alexandria via LeMat-Bulk, functional PBE. Values from VASP.

Computed properties:
Fermi-level density of states = 6.67 states/eV per cell

Geometry as Quantum ESPRESSO input:
```
&SYSTEM
  ibrav = 0, nat = 4, ntyp = 3
/
ATOMIC_SPECIES
Tb 158.93 Tb.upf
Np 237.00 Np.upf
Ge 72.64 Ge.upf
CELL_PARAMETERS angstrom
3.297 0.000 0.000
0.000 3.297 0.000
0.000 0.000 8.107
ATOMIC_POSITIONS crystal
Tb 0.000 0.000 0.000
Np 0.000 0.000 0.500
Ge 0.500 0.500 0.252
Ge 0.500 0.500 0.748
```

=====

Stability summary: most stable B, least stable A.